DFT (PBE) results for an optimized crystal structure of InPb4I8.

Structure (POSCAR):
```
InPb4I8
1.0
0.000 6.949 6.949
6.949 0.000 6.949
6.949 6.949 0.000
In Pb I
1 4 8
Cartesian
0.000 0.000 0.000
8.630 5.268 5.268
5.268 8.630 5.268
5.268 5.268 8.630
8.630 8.630 8.630
5.356 5.356 5.356
8.541 8.541 5.356
8.541 5.356 8.541
11.962 8.884 8.884
5.356 8.541 8.541
8.884 11.962 8.884
8.884 8.884 11.962
11.962 11.962 11.962
```

Summary:
Space-group type ... F-43m (216)
DOS(E_F) ... 0.430 states/eV per atom
Formation energy (no corrections) ... -6.46 eV per formula unit